A relaxed CaMgAg crystal, computed with PBE-GGA.

Properties
Formation energy (eV/atom): -0.21
SG: I4mm, No. 107
M_tot (μB/f.u.): 0.00

Unit cell a=6.3441 b=6.3441 c=3.5664 alpha=73.67 beta=73.67 gamma=32.65
Fractional positions:
1 Ca 0.3455 0.3454 0.6545
2 Mg 0.6369 0.6370 0.3631
3 Ag 0.0177 0.0176 0.9824